Density functional theory data (PBE) for a relaxed structure of YCu3O4.

Results
As for the symmetry: Pm-3n. As for the uncorrected formation energy: -1.43 eV/atom. The calculation puts the total energy at -6.249 eV per atom.

a = 5.648 Å, b = 5.648 Å, c = 5.648 Å
α = 90.00°, β = 90.00°, γ = 90.00°
Sites, in units of the cell vectors:
1 Cu 0.000 0.500 0.250
2 Cu 0.500 0.250 0.000
3 Cu 0.250 0.000 0.500
4 Cu 0.000 0.500 0.750
5 Cu 0.750 0.000 0.500
6 Cu 0.500 0.750 0.000
7 O 0.250 0.750 0.250
8 O 0.750 0.750 0.250
9 O 0.750 0.250 0.250
10 O 0.250 0.750 0.750
11 O 0.750 0.750 0.750
12 O 0.750 0.250 0.750
13 O 0.250 0.250 0.250
14 O 0.250 0.250 0.750
15 Y 0.500 0.500 0.500
16 Y 0.000 0.000 0.000